Entry 1:
# ZnCdTc2O8 GGA-PBE optimized geometry
data_ZnCdTc2O8
_cell_length_a 7.034
_cell_length_b 7.034
_cell_length_c 6.767
_cell_angle_alpha 90.00
_cell_angle_beta 90.00
_cell_angle_gamma 90.00
_symmetry_space_group_name_H-M 'I -4 m 2'
_symmetry_Int_Tables_number 119
_symmetry_space_group_name_Hall 'I -4 -2'
loop_
_atom_site_label
_atom_site_fract_x
_atom_site_fract_y
_atom_site_fract_z
Zn1 0.000 0.000 0.000
Cd1 0.000 0.500 0.750
Tc1 0.000 0.000 0.500
Tc2 0.000 0.500 0.250
O1 0.000 0.194 0.667
O2 0.000 0.296 0.088
# D(E_F) in states/eV/cell: 10.7
# Formation energy (no corrections) in meV/atom: -1155.4

***

Entry 2:
# Zn2CdTcO6 GGA-PBE optimized geometry
data_Zn2CdTcO6
_cell_length_a 12.530
_cell_length_b 10.467
_cell_length_c 6.533
_cell_angle_alpha 90.00
_cell_angle_beta 118.26
_cell_angle_gamma 90.00
_symmetry_space_group_name_H-M 'C 1 2/c 1'
_symmetry_Int_Tables_number 15
loop_
_symmetry_equiv_pos_as_xyz
'x,y,z'
'-x,-y,-z'
'-x,y,-z+1/2'
'x,-y,z+1/2'
'x+1/2,y+1/2,z'
'-x+1/2,-y+1/2,-z'
'-x+1/2,y+1/2,-z+1/2'
'x+1/2,-y+1/2,z+1/2'
loop_
_atom_site_label
_atom_site_fract_x
_atom_site_fract_y
_atom_site_fract_z
Zn1 0.232 0.053 0.192
Cd1 0.000 0.095 0.250
Tc1 0.000 0.288 0.750
O1 0.072 0.183 0.997
O2 0.099 0.387 0.696
O3 0.188 0.057 0.432
# D(E_F) in states/eV/cell: 7.7
# Formation energy (no corrections) in meV/atom: -1175.6